Record 1
K2NaTcH6 after structural relaxation, computed with GGA-PBE. Values from VASP.

Values from the calculation:
crystal system = orthorhombic

Quantum ESPRESSO input file:
```
&SYSTEM
  ibrav = 0, nat = 10, ntyp = 4
/
ATOMIC_SPECIES
H 1.01 H.upf
Na 22.99 Na.upf
K 39.10 K.upf
Tc 98.00 Tc.upf
CELL_PARAMETERS angstrom
-0.8341 -1.5509 5.5312
3.8769 -4.2728 -0.6380
4.5239 -0.3875 3.6256
ATOMIC_POSITIONS crystal
H 0.2839 0.2839 0.9942
H 0.7161 0.7161 0.0058
H 0.7161 0.7161 0.5620
Na 0.0000 0.0000 0.0000
H 0.7179 0.2821 0.0000
K 0.7488 0.2512 0.5000
Tc 0.5000 0.5000 0.0000
K 0.2512 0.7488 0.5000
H 0.2839 0.2839 0.4380
H 0.2821 0.7179 0.0000
```

---

Record 2
K2NaTiH6 after structural relaxation, computed with GGA-PBE. Values from VASP.

Values from the calculation:
crystal system = orthorhombic

Quantum ESPRESSO input file:
```
&SYSTEM
  ibrav = 0, nat = 20, ntyp = 4
/
ATOMIC_SPECIES
Na 22.99 Na.upf
H 1.01 H.upf
K 39.10 K.upf
Ti 47.87 Ti.upf
CELL_PARAMETERS angstrom
-0.0740 -2.9624 5.0892
5.5202 1.6921 1.0652
-2.8330 6.7828 3.9071
ATOMIC_POSITIONS crystal
Na 0.5000 0.2500 0.0000
H 0.0000 0.7496 0.7742
H 0.7273 0.4747 0.5000
H 0.2273 0.5253 0.0000
H 0.2727 0.4747 0.5000
K 0.0000 0.2501 0.7506
H 0.5000 0.2504 0.2742
H 0.7729 0.9749 0.0000
Na 0.0000 0.7500 0.5000
K 0.0000 0.2501 0.2494
K 0.5000 0.7499 0.7494
H 0.2271 0.9749 0.0000
K 0.5000 0.7499 0.2506
H 0.2729 0.0251 0.5000
H 0.7727 0.5253 0.0000
H 0.0000 0.7496 0.2258
Ti 0.0000 0.7500 0.0000
H 0.5000 0.2504 0.7258
Ti 0.5000 0.2500 0.5000
H 0.7271 0.0251 0.5000
```

---

Record 3
K6Na15Tl18H after structural relaxation, computed with GGA-PBE. Values from VASP.

Values from the calculation:
crystal system = cubic

Quantum ESPRESSO input file:
```
&SYSTEM
  ibrav = 0, nat = 40, ntyp = 4
/
ATOMIC_SPECIES
Tl 204.38 Tl.upf
Na 22.99 Na.upf
K 39.10 K.upf
H 1.01 H.upf
CELL_PARAMETERS angstrom
10.8026 0.0000 0.0000
0.0000 10.8026 0.0000
0.0000 0.0000 10.8026
ATOMIC_POSITIONS crystal
Tl 0.0000 0.7451 0.1564
Na 0.3277 0.0000 0.5000
Na 0.2803 0.2803 0.2803
K 0.8122 0.5000 0.0000
Na 0.7197 0.7197 0.2803
K 0.5000 0.0000 0.1878
Tl 0.2549 0.8436 0.0000
Tl 0.5000 0.5000 0.7279
Na 0.6723 0.0000 0.5000
Tl 0.7451 0.1564 0.0000
Na 0.5000 0.3277 0.0000
K 0.5000 0.0000 0.8122
Na 0.7197 0.2803 0.7197
Tl 0.7279 0.5000 0.5000
Na 0.2803 0.7197 0.7197
H 0.5000 0.5000 0.5000
Na 0.0000 0.5000 0.3277
K 0.0000 0.8122 0.5000
Tl 0.5000 0.2721 0.5000
Na 0.2803 0.7197 0.2803
Na 0.2803 0.2803 0.7197
Na 0.7197 0.7197 0.7197
K 0.1878 0.5000 0.0000
Na 0.5000 0.6723 0.0000
Tl 0.8436 0.0000 0.2549
Tl 0.0000 0.7451 0.8436
Tl 0.2549 0.1564 0.0000
Tl 0.2721 0.5000 0.5000
Tl 0.8436 0.0000 0.7451
K 0.0000 0.1878 0.5000
Tl 0.1564 0.0000 0.7451
Na 0.0000 0.0000 0.0000
Tl 0.0000 0.2549 0.8436
Tl 0.7451 0.8436 0.0000
Tl 0.0000 0.2549 0.1564
Tl 0.1564 0.0000 0.2549
Tl 0.5000 0.7279 0.5000
Tl 0.5000 0.5000 0.2721
Na 0.7197 0.2803 0.2803
Na 0.0000 0.5000 0.6723
```

---

Record 4
K6Na2TlH after structural relaxation, computed with GGA-PBE. Values from VASP.

Values from the calculation:
crystal system = monoclinic

Quantum ESPRESSO input file:
```
&SYSTEM
  ibrav = 0, nat = 10, ntyp = 4
/
ATOMIC_SPECIES
H 1.01 H.upf
K 39.10 K.upf
Na 22.99 Na.upf
Tl 204.38 Tl.upf
CELL_PARAMETERS angstrom
-5.7514 -6.7781 -0.6880
0.7386 0.3179 -8.8784
7.3350 -0.8329 5.0959
ATOMIC_POSITIONS crystal
H 0.9997 0.0002 0.9997
K 0.7690 0.7693 0.5406
K 0.2295 0.2297 0.0014
Na 0.7533 0.2477 0.5003
K 0.2291 0.7708 0.9997
K 0.7709 0.2301 0.9999
K 0.2305 0.2312 0.4587
Tl 0.4994 0.4999 0.9995
K 0.7696 0.7705 0.9977
Na 0.2478 0.7545 0.5006
```

---

Record 5
K2NaTlH after structural relaxation, computed with GGA-PBE. Values from VASP.

Values from the calculation:
crystal system = tetragonal

Quantum ESPRESSO input file:
```
&SYSTEM
  ibrav = 0, nat = 5, ntyp = 4
/
ATOMIC_SPECIES
K 39.10 K.upf
Na 22.99 Na.upf
Tl 204.38 Tl.upf
H 1.01 H.upf
CELL_PARAMETERS angstrom
-2.3731 -1.9293 -4.5848
-0.3056 -5.0138 2.2680
-4.6353 1.1491 1.9157
ATOMIC_POSITIONS crystal
K 0.5000 0.0000 0.0000
Na 0.0000 0.0000 0.5000
Tl 0.5000 0.5000 0.5000
K 0.0000 0.5000 0.0000
H 0.0000 0.0000 0.0000
```

---

Record 6
K2NaTlH after structural relaxation, computed with GGA-PBE. Values from VASP.

Values from the calculation:
crystal system = tetragonal

Quantum ESPRESSO input file:
```
&SYSTEM
  ibrav = 0, nat = 5, ntyp = 4
/
ATOMIC_SPECIES
Na 22.99 Na.upf
Tl 204.38 Tl.upf
K 39.10 K.upf
H 1.01 H.upf
CELL_PARAMETERS angstrom
-0.1801 -5.5212 -0.2817
4.9731 -0.0387 -2.4212
2.3626 -0.3249 4.8578
ATOMIC_POSITIONS crystal
Na 0.5000 0.5000 0.5000
Tl 0.0000 0.0000 0.5000
K 0.0000 0.5000 0.0000
K 0.5000 0.0000 0.0000
H 0.0000 0.0000 0.0000
```

---

Summary of final energy in eV per atom
-3.487, -3.326, -1.913, -1.462, -1.867, -1.835
(order as listed above)
Summary of D(E_F) in states/eV/cell
4.05, 11.63, 12.39, 7.75, 1.60, 2.43
(order as listed above)
Summary of size of the total moment in μB/cell
2.0, 2.0, 0.0, 0.0, 0.0, 0.0
(order as listed above)